Entry 1:
A relaxed structure of CdRu. Source: Alexandria, functional GGA-PBE.

Results
The total energy is -4.815 eV/atom. Its density of states at the Fermi level is 5.79 states/eV per cell.

abc: 5.368 5.368 7.322
angles: 71.64 71.64 31.06
Element x y z (fractional)
Cd 0.339 0.339 0.381
Cd 0.636 0.636 0.254
Cd 0.977 0.977 0.006
Ru 0.954 0.954 0.627
Ru 0.273 0.273 0.885
Ru 0.655 0.655 0.680

=====

Entry 2:
A relaxed structure of Y2HPt. Source: Alexandria, functional GGA-PBE.

Results
The total energy is -6.120 eV/atom. Its density of states at the Fermi level is 3.40 states/eV per cell. As for the offset from the most stable computed form: 150 meV per atom.

abc: 4.826 4.826 4.826
angles: 60.00 60.00 60.00
Element x y z (fractional)
Pt 0.500 0.500 0.500
Y 0.250 0.250 0.250
Y 0.750 0.750 0.750
H 0.000 0.000 0.000

=====

Entry 3:
A relaxed structure of AgSbRu4. Source: Alexandria, functional GGA-PBE.

Results
Its uncorrected formation energy is 0.611 eV/atom. The total energy is -6.735 eV/atom. Its density of states at the Fermi level is 7.51 states/eV per cell.

abc: 5.223 5.223 5.223
angles: 60.00 60.00 60.00
Each line ends with the local moment (μB).
Element x y z (fractional)
Ru 0.625 0.625 0.625  0.84
Ru 0.124 0.625 0.625  0.84
Ru 0.625 0.124 0.625  0.84
Ru 0.625 0.625 0.124  0.84
Ag 0.000 0.000 0.000  0.04
Sb 0.250 0.250 0.250  0.02

=====

Entry 4:
A relaxed structure of LiCd2Cu2. Source: Alexandria, functional GGA-PBE.

Results
The total energy is -2.236 eV/atom. Its density of states at the Fermi level is 1.82 states/eV per cell. As for the offset from the most stable computed form: 179 meV per atom.

abc: 4.202 4.202 6.400
angles: 70.84 70.84 90.00
Element x y z (fractional)
Li 0.000 0.000 0.000
Cu 0.602 0.602 0.796
Cu 0.398 0.398 0.204
Cd 0.750 0.250 0.500
Cd 0.250 0.750 0.500

=====

Entry 5:
A relaxed structure of BaReSe2. Source: Alexandria, functional GGA-PBE.

Results
Its uncorrected formation energy is -0.027 eV/atom. The total energy is -5.362 eV/atom. Its density of states at the Fermi level is 2.88 states/eV per cell. As for the offset from the most stable computed form: 475 meV per atom.

abc: 9.361 9.361 9.361
angles: 23.83 23.83 23.83
Each line ends with the local moment (μB).
Element x y z (fractional)
Se 0.118 0.118 0.118  0.03
Se 0.882 0.882 0.882  0.03
Re 0.500 0.500 0.500  1.51
Ba 0.000 0.000 0.000  0.23

=====

Entry 6:
A relaxed structure of Nd2AlSi4Rh3. Source: Alexandria, functional GGA-PBE.

Results
Its uncorrected formation energy is -0.922 eV/atom. The total energy is -6.624 eV/atom. Its density of states at the Fermi level is 5.49 states/eV per cell.

abc: 4.156 4.156 10.210
angles: 90.00 90.00 90.00
Element x y z (fractional)
Nd 0.000 0.500 0.759
Nd 0.500 0.000 0.241
Rh 0.000 0.500 0.120
Rh 0.500 0.000 0.880
Rh 0.000 0.000 0.500
Si 0.000 0.000 0.000
Si 0.500 0.500 0.000
Si 0.500 0.000 0.645
Si 0.000 0.500 0.355
Al 0.500 0.500 0.500